A plane-wave DFT calculation with PBE-GGA was carried out for a geometry-optimized Y5Er3Sc2 structure.

Cell lengths 9.225, 9.225, 9.246 Å; angles 106.54, 106.68, 115.27 degrees
Fractional coordinates of all 20 atoms:
Y 0.022 0.176 0.448
Y 0.129 0.878 0.250
Y 0.227 0.574 0.051
Y 0.378 0.630 0.751
Y 0.475 0.322 0.548
Y 0.525 0.678 0.452
Y 0.622 0.370 0.249
Y 0.773 0.426 0.949
Y 0.871 0.122 0.750
Y 0.978 0.824 0.552
Er 0.077 0.524 0.349
Er 0.275 0.928 0.953
Er 0.324 0.272 0.850
Er 0.676 0.728 0.150
Er 0.725 0.072 0.047
Er 0.923 0.476 0.651
Sc 0.171 0.221 0.147
Sc 0.425 0.976 0.650
Sc 0.575 0.024 0.350
Sc 0.829 0.779 0.853

Magnetic moment   0.00 μB per cell
Density of states at the Fermi level   1.598 states/eV/atom
Energy of formation from the pure elements   0.47 eV per formula unit

---

A plane-wave DFT calculation with PBE-GGA was carried out for a geometry-optimized Hf2SnGeP structure.

Cell lengths 5.344, 5.344, 4.806 Å; angles 90.00, 90.00, 90.00 degrees
Fractional coordinates of all 5 atoms:
Hf 0.000 0.500 0.000
Hf 0.500 0.000 0.000
Sn 0.000 0.000 0.000
Ge 0.500 0.500 0.500
P 0.000 0.000 0.500

Magnetic moment   0.00 μB per cell
Density of states at the Fermi level   1.166 states/eV/atom
Energy of formation from the pure elements   6.06 eV per formula unit